Record 1
Material: BeCo2Pb
Method: DFT, PBE-GGA
State: relaxed

ΔH_f (0 K) = 369 meV per atom
calculated total energy = -0.185 Ha/atom
excess energy over the best structure of this formula in the dataset = 70 meV per atom

Lattice parameters (Å, degrees): 2.981 2.981 6.318 90.00 90.00 90.00
Space group P4/mmm (No. 123)
Symmetry-distinct sites (fractional):
1 Be 0.000 0.000 0.000 [1 per cell]
2 Co 0.500 0.500 0.179 [2 per cell]
3 Pb 0.000 0.000 0.500 [1 per cell]


Record 2
Material: BeTe2C
Method: DFT, PBE-GGA
State: relaxed

raw formation energy = 878 meV per atom
calculated total energy = -0.144 Ha/atom
excess energy over the best structure of this formula in the dataset = 0 meV per atom

Lattice parameters (Å, degrees): 5.438 5.438 11.756 90.00 90.00 90.00
Space group I-42d (No. 122)
Symmetry-distinct sites (fractional):
1 Be 0.000 0.000 0.000 [4 per cell]
2 Te 0.239 0.250 0.625 [8 per cell]
3 C 0.000 0.000 0.500 [4 per cell]


Record 3
Material: Na2YAgCl6
Method: DFT, PBE-GGA
State: relaxed

raw formation energy = -1723 meV per atom
calculated total energy = -0.148 Ha/atom

Lattice parameters (Å, degrees): 7.001 7.006 7.444 90.11 117.95 119.89
Space group P1 (No. 1)
Symmetry-distinct sites (fractional):
1 Na 0.000 0.000 0.000 [1 per cell]
2 Na 0.018 0.509 0.527 [1 per cell]
3 Y 0.617 0.309 0.925 [1 per cell]
4 Ag 0.590 0.796 0.387 [1 per cell]
5 Cl 0.099 0.408 0.196 [1 per cell]
6 Cl 0.132 0.200 0.705 [1 per cell]
7 Cl 0.505 0.098 0.196 [1 per cell]
8 Cl 0.506 0.933 0.704 [1 per cell]
9 Cl 0.772 0.574 0.705 [1 per cell]
10 Cl 0.788 0.692 0.196 [1 per cell]


Q: Which of these has the lowest calculated total energy?
A: BeCo2Pb


Copy entry 1 word for word.
Material: BeCo2Pb
Method: DFT, PBE-GGA
State: relaxed

ΔH_f (0 K) = 369 meV per atom
calculated total energy = -0.185 Ha/atom
excess energy over the best structure of this formula in the dataset = 70 meV per atom

Lattice parameters (Å, degrees): 2.981 2.981 6.318 90.00 90.00 90.00
Space group P4/mmm (No. 123)
Symmetry-distinct sites (fractional):
1 Be 0.000 0.000 0.000 [1 per cell]
2 Co 0.500 0.500 0.179 [2 per cell]
3 Pb 0.000 0.000 0.500 [1 per cell]


Q: Among the records above, which one has the lowest calculated total energy?
A: BeCo2Pb